A relaxed BaTiI2O crystal. Source: Alexandria via LeMat-Bulk, functional PBE.

Cell lengths 6.050, 6.050, 3.886 Å; angles 90.00, 90.00, 90.00 degrees
Element x y z (fractional)
Ti 0.000 0.000 0.000
I 0.000 0.500 0.000
O 0.000 0.000 0.500
I 0.500 0.000 0.000
Ba 0.500 0.500 0.500

Output
The space group is P4/mmm (123). Its polymorph energy (0 for the lowest one) is 0 meV per atom. For the energy relative to the elements, uncorrected, the calculation gives -1.500 eV/atom.

A relaxed PuHfTh2N4 crystal. Source: Alexandria via LeMat-Bulk, functional PBE.

Cell lengths 3.457, 6.019, 6.114 Å; angles 108.75, 90.00, 90.00 degrees
Element x y z (fractional)
N 0.000 0.756 0.221
N 0.500 0.225 0.217
N 0.000 0.244 0.779
Pu 0.500 0.500 0.000
N 0.500 0.775 0.783
Th 0.000 0.500 0.500
Hf 0.000 0.000 0.000
Th 0.500 0.000 0.500

Output
The space group is P2/m (10). For the energy relative to the elements, uncorrected, the calculation gives -1.505 eV/atom.

A relaxed LiC2I2 crystal. Source: Alexandria via LeMat-Bulk, functional PBE.

Cell lengths 7.718, 7.718, 3.370 Å; angles 90.00, 90.00, 90.00 degrees
Element x y z (fractional)
I 0.822 0.678 0.000
C 0.315 0.185 0.500
Li 0.000 0.000 0.000
I 0.322 0.822 0.000
I 0.178 0.322 0.000
C 0.815 0.315 0.500
I 0.678 0.178 0.000
Li 0.500 0.500 0.000
C 0.185 0.685 0.500
C 0.685 0.815 0.500

Output
The space group is P4/mbm (127). Its polymorph energy (0 for the lowest one) is 789 meV per atom. For the energy relative to the elements, uncorrected, the calculation gives 1.823 eV/atom.

A relaxed BeZnInNiPd crystal. Source: Alexandria via LeMat-Bulk, functional PBE.

Cell lengths 4.675, 4.367, 7.558 Å; angles 90.00, 108.48, 90.00 degrees
Element x y z (fractional)
Pd 0.966 0.000 0.396
Zn 0.818 0.000 0.032
Be 0.507 0.000 0.483
In 0.223 0.500 0.273
In 0.223 0.000 0.773
Zn 0.818 0.500 0.532
Ni 0.384 0.500 0.641
Ni 0.384 0.000 0.141
Pd 0.966 0.500 0.896
Be 0.507 0.500 0.983

Output
The space group is Cm (8). The formation enthalpy at 0 K comes out at -0.18 eV/atom. Its polymorph energy (0 for the lowest one) is 78 meV per atom.

A relaxed InRu2F crystal. Source: Alexandria via LeMat-Bulk, functional PBE.

Cell lengths 3.530, 3.530, 10.743 Å; angles 80.54, 80.54, 90.00 degrees
Element x y z (fractional)
F 0.250 0.750 0.500
Ru 0.875 0.377 0.750
F 0.500 0.500 0.000
Ru 0.127 0.125 0.250
In 0.750 0.250 0.500
In 0.000 0.000 0.000
Ru 0.623 0.625 0.250
Ru 0.375 0.873 0.750

Output
The space group is I-42d (122). Its polymorph energy (0 for the lowest one) is 0 meV per atom. For the energy relative to the elements, uncorrected, the calculation gives 0.044 eV/atom.

A relaxed HoTm6Th2 crystal. Source: Alexandria via LeMat-Bulk, functional PBE.

Cell lengths 6.044, 11.680, 11.680 Å; angles 96.29, 60.52, 60.52 degrees
Element x y z (fractional)
Tm 0.082 0.084 0.585
Tm 0.669 0.002 0.834
Th 0.000 0.331 0.169
Th 0.500 0.169 0.331
Tm 0.168 0.502 0.334
Tm 0.332 0.666 0.498
Tm 0.668 0.334 0.502
Tm 0.418 0.415 0.916
Ho 0.250 0.250 0.750
Tm 0.832 0.498 0.666
Tm 0.831 0.166 0.998
Tm 0.582 0.585 0.084
Th 0.500 0.831 0.669
Ho 0.750 0.750 0.250
Th 0.000 0.669 0.831
Tm 0.918 0.916 0.415
Tm 0.169 0.834 0.002
Tm 0.331 0.998 0.166

Output
The space group is C2/c (15). The formation enthalpy at 0 K comes out at 0.13 eV/atom. Its polymorph energy (0 for the lowest one) is 0 meV per atom.

A relaxed Ta3HgTe crystal. Source: Alexandria via LeMat-Bulk, functional PBE.

Cell lengths 5.010, 5.010, 5.010 Å; angles 90.00, 90.00, 90.00 degrees
Element x y z (fractional)
Hg 0.500 0.500 0.500
Ta 0.000 0.500 0.000
Ta 0.500 0.000 0.000
Ta 0.000 0.000 0.500
Te 0.000 0.000 0.000

Output
The space group is Pm-3m (221). Its polymorph energy (0 for the lowest one) is 0 meV per atom. For the energy relative to the elements, uncorrected, the calculation gives 1.781 eV/atom.

A relaxed MoPdRh crystal. Source: Alexandria via LeMat-Bulk, functional PBE.

Cell lengths 4.425, 5.163, 5.163 Å; angles 95.15, 64.63, 64.63 degrees
Element x y z (fractional)
Pd 0.500 0.168 0.832
Mo 0.744 0.256 0.256
Mo 0.256 0.744 0.744
Pd 0.500 0.832 0.168
Rh 0.000 0.665 0.335
Rh 0.000 0.335 0.665

Output
The space group is Immm (71). The formation enthalpy at 0 K comes out at 0.09 eV/atom. Its polymorph energy (0 for the lowest one) is 204 meV per atom.

A relaxed GeB2O6 crystal. Source: Alexandria via LeMat-Bulk, functional PBE.

Cell lengths 4.877, 6.060, 6.060 Å; angles 82.16, 76.13, 76.13 degrees
Element x y z (fractional)
B 0.737 0.782 0.636
O 0.138 0.810 0.953
O 0.017 0.636 0.654
Ge 0.750 0.888 0.112
O 0.362 0.047 0.190
O 0.638 0.953 0.810
O 0.699 0.593 0.106
B 0.237 0.636 0.782
O 0.301 0.407 0.894
O 0.199 0.106 0.593
Ge 0.250 0.112 0.888
O 0.983 0.364 0.346
O 0.483 0.346 0.364
O 0.801 0.894 0.407
B 0.263 0.218 0.364
O 0.517 0.654 0.636
B 0.763 0.364 0.218
O 0.862 0.190 0.047

Output
The space group is C2/c (15). For the energy relative to the elements, uncorrected, the calculation gives -1.568 eV/atom.

A relaxed Li2PrSm2Sn2 crystal. Source: Alexandria via LeMat-Bulk, functional PBE.

Cell lengths 4.845, 4.845, 9.609 Å; angles 75.40, 75.40, 60.00 degrees
Element x y z (fractional)
Li 0.406 0.406 0.781
Li 0.594 0.594 0.219
Sm 0.130 0.130 0.610
Sn 0.738 0.738 0.785
Pr 0.000 0.000 0.000
Sm 0.870 0.870 0.390
Sn 0.262 0.262 0.215

Output
The space group is R-3m (166). The formation enthalpy at 0 K comes out at -0.48 eV/atom.

A relaxed Na2HoGaTe4 crystal. Source: Alexandria via LeMat-Bulk, functional PBE.

Cell lengths 8.834, 8.834, 9.005 Å; angles 120.59, 120.59, 91.20 degrees
Element x y z (fractional)
Te 0.752 0.260 0.506
Na 0.500 0.500 0.000
Na 0.500 0.000 0.000
Ho 0.000 0.500 0.000
Na 0.000 0.000 0.500
Ga 0.500 0.500 0.500
Ho 0.000 0.500 0.500
Te 0.243 0.253 0.031
Na 0.500 0.000 0.500
Te 0.240 0.748 0.994
Te 0.247 0.257 0.469
Te 0.760 0.252 0.006
Te 0.753 0.743 0.531
Ga 0.000 0.000 0.000
Te 0.757 0.747 0.969
Te 0.248 0.740 0.494

Output
The space group is C2/c (15). For the energy relative to the elements, uncorrected, the calculation gives -0.830 eV/atom.

A relaxed Pm6BiSb3As2 crystal. Source: Alexandria via LeMat-Bulk, functional PBE.

Cell lengths 4.414, 8.867, 9.884 Å; angles 102.88, 102.90, 90.00 degrees
Element x y z (fractional)
Sb 0.836 0.168 0.673
Pm 0.006 0.258 0.013
As 0.168 0.336 0.337
Sb 0.500 0.500 0.000
Pm 0.671 0.097 0.341
Bi 0.500 0.000 0.000
Pm 0.671 0.575 0.342
Pm 0.994 0.742 0.987
As 0.832 0.664 0.663
Pm 0.329 0.425 0.658
Pm 0.329 0.903 0.659
Sb 0.164 0.832 0.327

Output
The space group is C2/m (12). For the energy relative to the elements, uncorrected, the calculation gives -1.237 eV/atom.

A relaxed BaLi2In crystal. Source: Alexandria via LeMat-Bulk, functional PBE.

Cell lengths 4.901, 4.901, 6.429 Å; angles 67.48, 67.48, 60.07 degrees
Element x y z (fractional)
Li 0.947 0.947 0.159
In 0.250 0.250 0.250
Li 0.553 0.553 0.341
Ba 0.750 0.750 0.750

Output
The space group is C2/m (12). The formation enthalpy at 0 K comes out at -0.23 eV/atom.

A relaxed AcHo2Mg crystal. Source: Alexandria via LeMat-Bulk, functional PBE.

Cell lengths 5.214, 5.008, 5.008 Å; angles 90.00, 90.00, 90.00 degrees
Element x y z (fractional)
Mg 0.500 0.500 0.500
Ho 0.000 0.000 0.500
Ho 0.000 0.500 0.000
Ac 0.500 0.000 0.000

Output
The space group is P4/mmm (123). The formation enthalpy at 0 K comes out at 0.07 eV/atom. Its polymorph energy (0 for the lowest one) is 66 meV per atom.

A relaxed PrCu4As2 crystal. Source: Alexandria via LeMat-Bulk, functional PBE.

Cell lengths 3.989, 7.580, 7.580 Å; angles 90.00, 90.00, 90.00 degrees
Element x y z (fractional)
Cu 0.500 0.846 0.416
Pr 0.500 0.000 0.000
Cu 0.000 0.346 0.084
Cu 0.500 0.416 0.846
As 0.500 0.715 0.715
As 0.000 0.785 0.215
As 0.000 0.215 0.785
Pr 0.000 0.500 0.500
Cu 0.500 0.584 0.154
Cu 0.000 0.916 0.654
As 0.500 0.285 0.285
Cu 0.000 0.084 0.346
Cu 0.000 0.654 0.916
Cu 0.500 0.154 0.584

Output
The space group is P4_2/mnm (136). The formation enthalpy at 0 K comes out at -0.43 eV/atom.

A relaxed CrInPb2 crystal. Source: Alexandria via LeMat-Bulk, functional PBE.

Cell lengths 7.375, 7.375, 4.742 Å; angles 71.35, 71.35, 25.81 degrees
Element x y z (fractional)
Pb 0.565 0.565 0.435
In 0.750 0.750 0.750
Cr 0.250 0.250 0.250
Pb 0.935 0.935 0.065

Output
The space group is C2/m (12). The formation enthalpy at 0 K comes out at 0.30 eV/atom.

A relaxed LaP2PtRh2 crystal. Source: Alexandria via LeMat-Bulk, functional PBE.

Cell lengths 4.068, 5.959, 9.705 Å; angles 90.00, 90.00, 90.00 degrees
Element x y z (fractional)
P 0.500 0.291 0.698
Rh 0.000 0.469 0.693
P 0.000 0.209 0.198
P 0.500 0.709 0.302
Pt 0.000 0.000 0.000
Rh 0.000 0.531 0.307
P 0.000 0.791 0.802
Rh 0.500 0.031 0.193
Rh 0.500 0.969 0.807
La 0.000 0.000 0.500
La 0.500 0.500 0.000
Pt 0.500 0.500 0.500

Output
The space group is Pnnm (58). The formation enthalpy at 0 K comes out at -0.83 eV/atom.

A relaxed K2GaGeO4 crystal. Source: Alexandria via LeMat-Bulk, functional PBE.

Cell lengths 5.736, 5.736, 5.736 Å; angles 90.90, 119.48, 119.48 degrees
Element x y z (fractional)
K 0.000 0.000 0.000
O 0.368 0.867 0.749
O 0.118 0.251 0.620
O 0.882 0.501 0.133
O 0.632 0.380 0.499
Ge 0.000 0.500 0.500
Ga 0.500 0.250 0.750
K 0.500 0.750 0.250

Output
The space group is I-4 (82). For the energy relative to the elements, uncorrected, the calculation gives -1.613 eV/atom.

A relaxed Rb3Fe5Br12 crystal. Source: Alexandria via LeMat-Bulk, functional PBE.

Cell lengths 14.810, 14.810, 14.810 Å; angles 109.47, 109.47, 109.47 degrees
Element x y z (fractional)
Fe 0.000 0.000 0.500
Fe 0.875 0.250 0.625
Fe 0.875 0.625 0.750
Br 0.585 0.893 0.403
Rb 0.125 0.875 0.750
Fe 0.125 0.750 0.375
Fe 0.750 0.125 0.875
Br 0.010 0.403 0.818
Br 0.915 0.818 0.808
Rb 0.250 0.625 0.875
Fe 0.375 0.250 0.125
Fe 0.250 0.375 0.625
Br 0.107 0.415 0.097
Br 0.308 0.415 0.818
Br 0.182 0.085 0.692
Br 0.510 0.318 0.903
Br 0.192 0.682 0.085
Br 0.682 0.490 0.597
Br 0.510 0.192 0.107
Br 0.490 0.682 0.097
Rb 0.875 0.125 0.250
Fe 0.500 0.500 0.000
Rb 0.375 0.625 0.250
Rb 0.125 0.250 0.875
Br 0.893 0.585 0.903
Rb 0.750 0.875 0.625
Rb 0.250 0.125 0.375
Br 0.808 0.318 0.915
Br 0.182 0.097 0.990
Br 0.990 0.393 0.308
Br 0.607 0.597 0.915
Rb 0.625 0.375 0.750
Fe 0.625 0.875 0.250
Br 0.097 0.915 0.107
Rb 0.875 0.750 0.125
Br 0.597 0.990 0.682
Fe 0.000 0.500 0.000
Br 0.818 0.915 0.308
Br 0.893 0.308 0.490
Br 0.308 0.893 0.990
Br 0.107 0.692 0.510
Rb 0.625 0.250 0.375
Fe 0.500 0.500 0.500
Fe 0.500 0.000 0.000
Br 0.808 0.490 0.393
Fe 0.500 0.000 0.500
Rb 0.375 0.750 0.625
Br 0.403 0.393 0.585
Fe 0.750 0.625 0.375
Fe 0.625 0.750 0.875
Br 0.097 0.182 0.490
Br 0.692 0.585 0.182
Br 0.318 0.510 0.403
Fe 0.125 0.375 0.250
Br 0.085 0.903 0.393
Br 0.403 0.010 0.318
Br 0.490 0.808 0.893
Br 0.585 0.692 0.682
Fe 0.375 0.125 0.750
Rb 0.750 0.375 0.125
Br 0.393 0.403 0.085
Br 0.318 0.808 0.415
Br 0.010 0.607 0.692
Br 0.692 0.107 0.010
Br 0.903 0.085 0.893
Br 0.415 0.308 0.318
Br 0.393 0.990 0.808
Br 0.682 0.192 0.585
Br 0.607 0.010 0.192
Br 0.990 0.597 0.182
Br 0.915 0.097 0.607
Fe 0.000 0.000 0.000
Br 0.818 0.903 0.010
Br 0.903 0.818 0.510
Br 0.192 0.510 0.607
Br 0.415 0.107 0.597
Br 0.597 0.607 0.415
Fe 0.000 0.500 0.500
Br 0.085 0.182 0.192
Fe 0.250 0.875 0.125

Output
The space group is Ia-3d (230). For the energy relative to the elements, uncorrected, the calculation gives -0.732 eV/atom.

Record order is preserved below.
M_tot: 1.3 4.6 0.0 0.0 0.0 0.0 0.0 0.0 4.0 0.0 0.0 0.0 0.0 0.0 0.0 3.4 0.0 0.0 76.0 μB/cell